Entry 1:
Ho4Te5O after structural relaxation, computed with PBE-GGA.

abc: 16.577 4.428 11.023
angles: 90.00 106.86 90.00
Space group C2/m (No. 12)
One atom of each set of equivalent atoms:
Ho 0.003 0.000 0.312
Ho 0.127 0.500 0.061
Te 0.000 0.500 0.500
Te 0.159 0.000 0.877
Te 0.164 0.000 0.269
O 0.000 0.500 0.000

## Properties
- E_form (uncorrected): -1.4739 eV/atom

=====

Entry 2:
BaLiPdPb2 after structural relaxation, computed with PBE-GGA.

abc: 5.422 5.422 5.102
angles: 90.00 90.00 90.00
Space group P4/mmm (No. 123)
One atom of each set of equivalent atoms:
Ba 0.000 0.000 0.000
Li 0.500 0.500 0.000
Pd 0.500 0.500 0.500
Pb 0.000 0.500 0.500

## Properties
- Energy of formation from the pure elements: -157 kJ/mol of formula units

=====

Entry 3:
LaHoNi2H8 after structural relaxation, computed with PBE-GGA.

abc: 4.4539 4.4539 19.7524
angles: 90.00 90.00 120.00
Space group R-3m (No. 166, hexagonal axes)
One atom of each set of equivalent atoms:
La 0.0000 0.0000 0.0000
Ho 0.0000 0.0000 0.5000
Ni 0.0000 0.0000 0.2511
H 0.0000 0.0000 0.3323
H 0.0397 0.5199 0.5544

## Properties
- E: -4.304 eV/atom